A plane-wave DFT calculation with PBE was carried out for an optimized crystal structure of TbNd3Ag2.

calculated formation energy = -0.156 eV per atom
total moment = 0.000 μB/cell

a b c (Å): 5.2504 9.4273 7.0387
angles (deg): 90.00 90.00 90.00
Last column: nearest neighbours and their distance in Å.
Space group Pmc2_1 (No. 26)
Inequivalent atoms, fractional coordinates:
1 Tb 0.0000 0.0606 0.0000 x2  3 Ag 3.07-3.22
2 Nd 0.0000 0.3299 0.6489 x2  4 Ag 3.04-3.22
3 Nd 0.5000 0.1652 0.3304 x2  4 Ag 3.02-3.22
4 Nd 0.5000 0.4381 0.9823 x2  3 Ag 3.11-3.23
5 Ag 0.0000 0.3433 0.2171 x2  6 Nd 3.04-3.23, 1 Tb 3.07
6 Ag 0.5000 0.1509 0.7637 x2  5 Nd 3.02-3.22, 2 Tb 3.22